KTaW4: optimized geometry, PBE.

Values from the calculation:
For the formation energy, the calculation gives 1.047 eV/atom. The calculation puts the raw total energy at -9.747 eV per atom.

Unit cell a=5.4357 b=5.4357 c=5.4357 alpha=60.00 beta=60.00 gamma=60.00
Last column: nearest neighbours and their distance in Å.
Sites, in units of the cell vectors:
K 0.0000 0.0000 0.0000  12 W 3.19, 4 Ta 3.33
Ta 0.7500 0.7500 0.7500  12 W 3.19, 4 K 3.33
W 0.3742 0.3742 0.3742  6 W 2.70-2.73
W 0.3742 0.3742 0.8773  6 W 2.70-2.73
W 0.3742 0.8773 0.3742  6 W 2.70-2.73
W 0.8773 0.3742 0.3742  6 W 2.70-2.73

***

Tl3C: optimized geometry, PBE.

Values from the calculation:
For the formation energy, the calculation gives 1.388 eV/atom. The calculation puts the raw total energy at -2.693 eV per atom. The energy relative to the lowest polymorph listed for this composition is 309.6 kJ/mol of formula units.

Unit cell a=5.1749 b=5.1749 c=5.1749 alpha=60.00 beta=60.00 gamma=60.00
Last column: nearest neighbours and their distance in Å.
Sites, in units of the cell vectors:
Tl 0.0000 0.0000 0.0000  8 Tl 3.17
Tl 0.2500 0.2500 0.2500  4 C 3.17, 4 Tl 3.17
Tl 0.7500 0.7500 0.7500  4 Tl 3.17, 4 C 3.17
C 0.5000 0.5000 0.5000  8 Tl 3.17

***

Tb2CeHoTm: optimized geometry, PBE.

Values from the calculation:
For the formation energy, the calculation gives 0.300 eV/atom. The calculation puts the raw total energy at -4.549 eV per atom.

Unit cell a=5.8340 b=7.6707 c=7.1416 alpha=90.00 beta=90.00 gamma=90.00
Last column: nearest neighbours and their distance in Å.
Sites, in units of the cell vectors:
Tb 0.2500 0.2067 0.1806  1 Tm 3.06, 1 Tb 3.17
Tb 0.2500 0.7933 0.1806  1 Tm 3.06, 1 Tb 3.17
Tb 0.7500 0.2067 0.8194  1 Tm 3.06, 1 Tb 3.17
Tb 0.7500 0.7933 0.8194  1 Tm 3.06, 1 Tb 3.17
Ce 0.0000 0.5000 0.5000  2 Ce 2.92, 2 Tm 3.15
Ce 0.5000 0.5000 0.5000  2 Ce 2.92, 2 Tm 3.15
Ho 0.2500 0.0000 0.6552  6 Tb 3.52-3.74, 2 Ho 3.66
Ho 0.7500 0.0000 0.3448  6 Tb 3.52-3.74, 2 Ho 3.66
Tm 0.2500 0.5000 0.8903  2 Tb 3.06, 2 Ce 3.15, 2 Tm 3.31
Tm 0.7500 0.5000 0.1097  2 Tb 3.06, 2 Ce 3.15, 2 Tm 3.31

***

BeSiMoRu: optimized geometry, PBE.

Values from the calculation:
The value obtained for the uncorrected formation energy is -190 meV/atom. The calculation puts the raw total energy at -7.504 eV per atom.

Unit cell a=4.1373 b=4.1373 c=4.1373 alpha=60.00 beta=60.00 gamma=60.00
Last column: nearest neighbours and their distance in Å.
Sites, in units of the cell vectors:
Be 0.0000 0.0000 0.0000  4 Mo 2.53, 4 Ru 2.53
Si 0.5000 0.5000 0.5000  4 Mo 2.53, 4 Ru 2.53
Mo 0.7500 0.7500 0.7500  4 Si 2.53, 4 Be 2.53
Ru 0.2500 0.2500 0.2500  4 Be 2.53, 4 Si 2.53

***

What is the raw total energy in the fourth record?
-7.504 eV per atom

***

Among the records above, which one has the lowest raw total energy?
KTaW4